No. 1
Here is a geometry-optimized BaRu2Se structure from Alexandria. Energies are from PBE.

Computed properties:
Electronic total energy in eV/atom: -5.43
Crystal system: tetragonal
Formation energy (no corrections) in meV/atom: 564
Space-group type: No. 123

Geometry as POSCAR:
```
BaRu2Se
1.0
-0.8150 -0.6315 2.9963
3.0512 0.0943 0.8498
-0.6397 7.6795 1.4446
Ba Se Ru
1 1 2
Direct
0.5000 0.5000 0.7500
0.5000 0.5000 0.2500
0.0000 0.0000 0.0697
0.0000 0.0000 0.4303
```

No. 2
Here is a geometry-optimized La3GaO structure from Alexandria. Energies are from PBE.

Computed properties:
Electronic total energy in eV/atom: -5.84
Crystal system: monoclinic
Formation energy (no corrections) in meV/atom: -1286
Space-group type: No. 14

Geometry as POSCAR:
```
La3GaO
1.0
25.8266 0.0000 -2.7462
0.0000 6.5230 0.0000
-9.1999 0.0000 3.9896
La Ga O
12 4 4
Direct
0.7085 0.1017 0.0700
0.1028 0.3990 0.9450
0.6401 0.5851 0.7280
0.3972 0.8990 0.5550
0.8972 0.6010 0.0550
0.2085 0.3983 0.5700
0.8599 0.0851 0.7720
0.1401 0.9149 0.2280
0.7915 0.6017 0.4300
0.6028 0.1010 0.4450
0.2915 0.8983 0.9300
0.3599 0.4149 0.2720
0.9757 0.8543 0.5306
0.4757 0.6457 0.0306
0.5243 0.3543 0.9694
0.0243 0.1457 0.4694
0.5344 0.7624 0.6792
0.0344 0.7376 0.1792
0.9656 0.2624 0.8208
0.4656 0.2376 0.3208
```

No. 3
Here is a geometry-optimized MnAg structure from Alexandria. Energies are from PBE.

Computed properties:
Electronic total energy in eV/atom: -5.66
Crystal system: tetragonal
Space-group type: No. 141

Geometry as POSCAR:
```
MnAg
1.0
-1.7039 -4.0756 -2.2900
3.8023 -2.7407 -1.6699
-0.9862 1.9915 4.4519
Mn Ag
2 2
Direct
0.7500 0.2500 0.5000
0.5000 0.5000 0.0000
0.0000 0.0000 0.0000
0.2500 0.7500 0.5000
```

No. 4
Here is a geometry-optimized Na5Hg3Bi4 structure from Alexandria. Energies are from PBE.

Computed properties:
Electronic total energy in eV/atom: -2.12
Crystal system: triclinic
Space-group type: No. 2

Geometry as POSCAR:
```
Na5Hg3Bi4
1.0
4.8902 0.0440 -0.4067
-2.5080 5.4017 -0.8008
0.8427 -0.5219 14.0782
Bi Hg Na
4 3 5
Direct
0.1568 0.8133 0.0308
0.4353 0.4398 0.6511
0.5647 0.5602 0.3489
0.8432 0.1867 0.9692
0.8759 0.2980 0.7576
0.0000 0.5000 0.5000
0.1241 0.7020 0.2424
0.5000 0.0000 0.5000
0.4843 0.4459 0.1137
0.8281 0.1036 0.2465
0.5157 0.5541 0.8863
0.1719 0.8964 0.7535
```

No. 5
Here is a geometry-optimized Er3MgB structure from Alexandria. Energies are from PBE.

Computed properties:
Electronic total energy in eV/atom: -4.42
Crystal system: cubic
Space-group type: No. 221

Geometry as POSCAR:
```
Er3MgB
1.0
-2.9030 1.4651 -3.8689
-4.0922 -0.3235 2.9481
0.6070 4.8261 1.3721
B Er Mg
1 3 1
Direct
0.0000 0.0000 0.0000
0.0000 0.0000 0.5000
0.5000 0.0000 0.0000
0.0000 0.5000 0.0000
0.5000 0.5000 0.5000
```

No. 6
Here is a geometry-optimized Mn2HIrRu structure from Alexandria. Energies are from PBE.

Computed properties:
Electronic total energy in eV/atom: -7.93
Crystal system: tetragonal
Relative energy among the computed polymorphs in eV/atom: 0.0492
Space-group type: No. 123

Geometry as POSCAR:
```
Mn2HIrRu
1.0
3.7787 0.0000 0.0000
0.0000 3.7787 0.0000
0.0000 0.0000 3.7421
Mn Ru H Ir
2 1 1 1
Direct
0.5000 0.0000 0.0000
0.0000 0.5000 0.0000
0.5000 0.5000 0.5000
0.0000 0.0000 0.0000
0.0000 0.0000 0.5000
```